# 1
! RbBe3Bi PBE relaxed; values from VASP
! - SG: Pm-3m (221)
! - Offset from the most stable computed form: 0.974 eV per atom
! - Crystal system: cubic
&SYSTEM
  ibrav = 0, nat = 5, ntyp = 3
/
ATOMIC_SPECIES
Be 9.01 Be.upf
Bi 208.98 Bi.upf
Rb 85.47 Rb.upf
ATOMIC_POSITIONS angstrom
Be 2.587 0.000 0.000
Be 0.000 0.000 2.587
Be 0.000 2.587 0.000
Bi 2.587 2.587 2.587
Rb 0.000 0.000 0.000
CELL_PARAMETERS angstrom
5.174 0.000 0.000
0.000 5.174 0.000
0.000 0.000 5.174


# 2
! RbBeBi2 PBE relaxed; values from VASP
! - SG: I-42d (122)
! - DFT total energy: -23.622 eV for the cell shown
! - Crystal system: tetragonal
&SYSTEM
  ibrav = 0, nat = 8, ntyp = 3
/
ATOMIC_SPECIES
Rb 85.47 Rb.upf
Bi 208.98 Bi.upf
Be 9.01 Be.upf
ATOMIC_POSITIONS angstrom
Rb -7.776 1.581 0.759
Bi -9.299 -1.188 -0.873
Bi -4.245 1.222 0.528
Rb 0.000 0.000 0.000
Be -7.432 -1.091 -2.668
Be -3.456 1.916 -1.841
Bi -5.086 -0.019 -2.404
Bi -11.785 0.964 -1.071
CELL_PARAMETERS angstrom
-3.800 4.588 1.585
-3.112 -0.757 -5.268
-8.296 -3.342 1.773


# 3
! Rb2BeBi PBE relaxed; values from VASP
! - SG: I-42d (122)
! - Offset from the most stable computed form: 0.000 eV per atom
! - Crystal system: tetragonal
&SYSTEM
  ibrav = 0, nat = 8, ntyp = 3
/
ATOMIC_SPECIES
Bi 208.98 Bi.upf
Be 9.01 Be.upf
Rb 85.47 Rb.upf
ATOMIC_POSITIONS angstrom
Bi 13.656 6.828 1.219
Be 6.828 13.656 1.219
Rb 7.282 3.414 0.610
Rb 17.070 14.110 1.829
Bi 0.000 0.000 0.000
Rb 6.374 10.242 0.610
Be 6.828 6.828 0.000
Rb 10.242 13.201 1.829
CELL_PARAMETERS angstrom
13.656 0.000 0.000
0.000 13.656 0.000
6.828 6.828 2.439


# 4
! RbBeBiRu2 PBE relaxed; values from VASP
! - SG: P4/mmm (123)
! - DFT total energy: -17.503 eV for the cell shown
! - Crystal system: tetragonal
&SYSTEM
  ibrav = 0, nat = 5, ntyp = 4
/
ATOMIC_SPECIES
Rb 85.47 Rb.upf
Ru 101.07 Ru.upf
Be 9.01 Be.upf
Bi 208.98 Bi.upf
ATOMIC_POSITIONS angstrom
Rb -2.562 -2.070 0.343
Ru -0.475 0.172 -2.503
Be -4.583 0.088 -1.729
Ru -1.547 1.986 0.430
Bi 0.000 0.000 0.000
CELL_PARAMETERS angstrom
-0.950 0.345 -5.006
-5.123 -4.139 0.687
-3.093 3.971 0.861


# 5
! RbBeBiS3 PBE relaxed; values from VASP
! - SG: P2_1/m (11)
! - Uncorrected formation energy: -828 meV per atom
! - Crystal system: monoclinic
&SYSTEM
  ibrav = 0, nat = 12, ntyp = 4
/
ATOMIC_SPECIES
Be 9.01 Be.upf
Rb 85.47 Rb.upf
S 32.06 S.upf
Bi 208.98 Bi.upf
ATOMIC_POSITIONS angstrom
Be 0.979 -0.836 5.278
Rb 0.979 1.147 1.961
S 2.937 0.083 4.560
S 0.979 -0.918 7.380
S 0.979 3.180 7.480
S 2.937 7.888 1.382
Bi 2.937 1.064 7.501
Bi 0.979 5.905 1.261
Be 2.937 7.806 3.484
Rb 2.937 5.822 6.801
S 2.937 3.789 1.281
S 0.979 6.886 4.202
CELL_PARAMETERS angstrom
3.917 0.000 0.000
0.000 9.586 -0.099
0.000 -2.616 8.860


# 6
! Rb2ScBeBi PBE relaxed; values from VASP
! - SG: P4/mmm (123)
! - DFT total energy: -11.847 eV for the cell shown
! - Crystal system: tetragonal
&SYSTEM
  ibrav = 0, nat = 5, ntyp = 4
/
ATOMIC_SPECIES
Sc 44.96 Sc.upf
Be 9.01 Be.upf
Bi 208.98 Bi.upf
Rb 85.47 Rb.upf
ATOMIC_POSITIONS angstrom
Sc 0.000 0.000 0.000
Be 0.235 4.011 4.374
Bi -1.699 -0.344 2.128
Rb -0.862 3.622 -0.103
Rb 2.796 0.733 2.350
CELL_PARAMETERS angstrom
-1.724 7.244 -0.207
-3.397 -0.687 4.256
5.591 1.465 4.700